[1]
Material: CsRb2CdCl6
Method: DFT, PBE
State: relaxed

Cell: 8.165 8.165 8.165 Å, 60.00 60.00 90.00°
Element x y z (fractional)
1 Cs 0.000 0.000 0.000
2 Cl 0.276 0.276 0.448
3 Cl 0.724 0.724 0.552
4 Cl 0.276 0.276 0.000
5 Cl 0.724 0.724 0.000
6 Cl 0.724 0.276 0.000
7 Cl 0.276 0.724 0.000
8 Rb 0.750 0.250 0.500
9 Rb 0.250 0.750 0.500
10 Cd 0.500 0.500 0.000

Total magnetic moment, μB per cell: 1.0
E, Ha/atom: -0.1041

***

[2]
Material: BaCoS2Br
Method: DFT, PBE
State: relaxed

Cell: 5.502 10.313 5.502 Å, 90.00 90.00 90.00°
Element x y z (fractional)
1 S 0.000 0.000 0.500
2 S 0.500 0.000 0.000
3 Co 0.000 0.500 0.000
4 Ba 0.000 0.000 0.000
5 Br 0.500 0.500 0.500

Total magnetic moment, μB per cell: 2.6
E, Ha/atom: -0.1062

***

[3]
Material: Mg2Be2GaPt5
Method: DFT, PBE
State: relaxed

Cell: 3.350 9.277 9.277 Å, 90.00 90.00 90.00°
Element x y z (fractional)
1 Mg 0.000 0.674 0.174
2 Mg 0.000 0.326 0.826
3 Mg 0.000 0.174 0.326
4 Mg 0.000 0.826 0.674
5 Be 0.000 0.125 0.625
6 Be 0.000 0.875 0.375
7 Be 0.000 0.625 0.875
8 Be 0.000 0.375 0.125
9 Ga 0.000 0.000 0.000
10 Ga 0.000 0.500 0.500
11 Pt 0.500 0.208 0.073
12 Pt 0.500 0.792 0.927
13 Pt 0.500 0.073 0.792
14 Pt 0.500 0.708 0.427
15 Pt 0.500 0.927 0.208
16 Pt 0.500 0.292 0.573
17 Pt 0.500 0.573 0.708
18 Pt 0.500 0.427 0.292
19 Pt 0.500 0.500 0.000
20 Pt 0.500 0.000 0.500

ΔH_f (0 K), kJ/mol of atoms: -77.5
Total magnetic moment, μB per cell: 0.0

***

[4]
Material: CeLuHgRh
Method: DFT, PBE
State: relaxed

Cell: 5.074 5.074 5.074 Å, 60.00 60.00 60.00°
Element x y z (fractional)
1 Lu 0.250 0.250 0.250
2 Rh 0.000 0.000 0.000
3 Hg 0.500 0.500 0.500
4 Ce 0.750 0.750 0.750

ΔH_f (0 K), kJ/mol of atoms: -49.1
Total magnetic moment, μB per cell: 0.7

***

[5]
Material: Tb2PaTe4
Method: DFT, PBE
State: relaxed

Cell: 4.248 7.501 14.920 Å, 90.00 90.00 106.45°
Element x y z (fractional)
1 Tb 0.135 0.271 0.434
2 Tb 0.865 0.729 0.934
3 Tb 0.135 0.271 0.066
4 Tb 0.865 0.729 0.566
5 Pa 0.623 0.247 0.750
6 Pa 0.377 0.753 0.250
7 Te 0.777 0.555 0.125
8 Te 0.777 0.555 0.375
9 Te 0.223 0.445 0.875
10 Te 0.223 0.445 0.625
11 Te 0.962 0.923 0.750
12 Te 0.038 0.077 0.250
13 Te 0.500 0.000 0.000
14 Te 0.500 0.000 0.500

Total magnetic moment, μB per cell: 3.3
E, Ha/atom: -0.2045

***

[6]
Material: Y3As
Method: DFT, PBE
State: relaxed

Cell: 3.709 3.709 8.013 Å, 90.00 90.00 90.02°
Element x y z (fractional)
1 Y 0.500 0.500 0.800
2 Y 0.000 0.000 0.500
3 Y 0.500 0.500 0.200
4 As 0.000 0.000 0.000

E above lowest polymorph, eV/atom: 0.063
ΔH_f (0 K), kJ/mol of atoms: -54.0
Total magnetic moment, μB per cell: 0.0

***

[7]
Material: NaCr2I6
Method: DFT, PBE
State: relaxed

Cell: 7.085 7.245 7.245 Å, 120.00 90.00 90.00°
Element x y z (fractional)
1 Na 0.000 0.000 0.000
2 Cr 0.500 0.667 0.333
3 Cr 0.500 0.333 0.667
4 I 0.724 0.635 0.635
5 I 0.276 0.635 0.000
6 I 0.276 0.000 0.635
7 I 0.724 0.365 0.000
8 I 0.276 0.365 0.365
9 I 0.724 0.000 0.365

Total magnetic moment, μB per cell: 7.0
E, Ha/atom: -0.1411

***

[8]
Material: Y4Ta3
Method: DFT, PBE
State: relaxed

Cell: 5.643 5.643 6.417 Å, 90.00 90.00 120.00°
Element x y z (fractional)
1 Y 0.000 0.000 0.253
2 Y 0.000 0.000 0.747
3 Y 0.667 0.333 0.500
4 Y 0.333 0.667 0.500
5 Ta 0.000 0.500 0.000
6 Ta 0.500 0.500 0.000
7 Ta 0.500 0.000 0.000

E above lowest polymorph, eV/atom: 0.117
ΔH_f (0 K), kJ/mol of atoms: 37.0
Total magnetic moment, μB per cell: 0.0

***

[9]
Material: Mg4Pd5Au
Method: DFT, PBE
State: relaxed

Cell: 3.265 3.265 15.253 Å, 90.00 90.00 90.00°
Element x y z (fractional)
1 Mg 0.000 0.000 0.198
2 Mg 0.000 0.000 0.400
3 Mg 0.000 0.000 0.600
4 Mg 0.000 0.000 0.802
5 Pd 0.500 0.500 0.106
6 Pd 0.500 0.500 0.301
7 Pd 0.500 0.500 0.500
8 Pd 0.500 0.500 0.699
9 Pd 0.500 0.500 0.894
10 Au 0.000 0.000 0.000

ΔH_f (0 K), kJ/mol of atoms: -60.6
Total magnetic moment, μB per cell: 0.0

***

[10]
Material: KPCl
Method: DFT, PBE
State: relaxed

Cell: 5.408 5.408 5.408 Å, 60.00 60.00 60.00°
Element x y z (fractional)
1 Cl 0.500 0.500 0.500
2 K 0.750 0.750 0.750
3 P 0.000 0.000 0.000

E above lowest polymorph, eV/atom: 0.053
Total magnetic moment, μB per cell: 3.0

***

The highest total magnetic moment belongs to which entry? NaCr2I6

***

Repeat the first record exactly.
Material: CsRb2CdCl6
Method: DFT, PBE
State: relaxed

Cell: 8.165 8.165 8.165 Å, 60.00 60.00 90.00°
Element x y z (fractional)
1 Cs 0.000 0.000 0.000
2 Cl 0.276 0.276 0.448
3 Cl 0.724 0.724 0.552
4 Cl 0.276 0.276 0.000
5 Cl 0.724 0.724 0.000
6 Cl 0.724 0.276 0.000
7 Cl 0.276 0.724 0.000
8 Rb 0.750 0.250 0.500
9 Rb 0.250 0.750 0.500
10 Cd 0.500 0.500 0.000

Total magnetic moment, μB per cell: 1.0
E, Ha/atom: -0.1041

***

Number 2 is which compound? BaCoS2Br

***

What did the seventh record say?
Material: NaCr2I6
Method: DFT, PBE
State: relaxed

Cell: 7.085 7.245 7.245 Å, 120.00 90.00 90.00°
Element x y z (fractional)
1 Na 0.000 0.000 0.000
2 Cr 0.500 0.667 0.333
3 Cr 0.500 0.333 0.667
4 I 0.724 0.635 0.635
5 I 0.276 0.635 0.000
6 I 0.276 0.000 0.635
7 I 0.724 0.365 0.000
8 I 0.276 0.365 0.365
9 I 0.724 0.000 0.365

Total magnetic moment, μB per cell: 7.0
E, Ha/atom: -0.1411